[1]
# GaAgGe

A relaxed structure of GaAgGe (GGA-PBE, Alexandria via LeMat-Bulk).

Geometry as extended XYZ:
```
6
Lattice="4.824 -0.490 0.167 2.738 3.883 0.160 -1.674 0.929 5.652" Properties=species:S:1:pos:R:3 pbc="T T T"
Ga 3.491 1.147 1.268
Ga 1.021 2.789 3.028
Ag 6.093 2.262 0.389
Ag 3.243 1.185 4.076
Ge 3.456 3.964 3.530
Ge 3.792 3.856 0.929
```

Computed properties:
**Magnetization**: 0.000 μB/atom
**ΔH_f (0 K)**: 46 kJ/mol of formula units
**Calculated volume**: 19.1 Å³ per atom

[2]
# Ga2AgGe

A relaxed structure of Ga2AgGe (GGA-PBE, Alexandria via LeMat-Bulk).

Geometry as extended XYZ:
```
8
Lattice="-3.977 -0.768 -0.058 0.448 -2.554 3.113 -3.215 5.401 7.529" Properties=species:S:1:pos:R:3 pbc="T T T"
Ag 0.000 0.000 0.000
Ag -4.478 1.486 4.500
Ga -3.238 0.550 2.235
Ga -3.735 2.808 6.789
Ga -5.499 1.142 8.324
Ga -1.017 -0.341 3.821
Ge -2.266 0.594 6.085
Ge -1.765 -1.661 1.528
```

Computed properties:
**Magnetization**: 0.000 μB/atom
**ΔH_f (0 K)**: 48 kJ/mol of formula units
**Calculated volume**: 19.2 Å³ per atom

[3]
# GaAgGe

A relaxed structure of GaAgGe (GGA-PBE, Alexandria via LeMat-Bulk).

Geometry as extended XYZ:
```
6
Lattice="2.995 -0.003 0.036 -0.004 4.711 -0.109 -1.661 -1.908 7.986" Properties=species:S:1:pos:R:3 pbc="T T T"
Ga 0.120 -1.360 6.432
Ga 1.652 -0.635 3.702
Ag 1.616 0.893 6.547
Ag 0.147 1.739 4.092
Ge 0.181 1.801 1.376
Ge 1.718 4.123 0.814
```

Computed properties:
**Magnetization**: 0.000 μB/atom
**ΔH_f (0 K)**: 43 kJ/mol of formula units
**Calculated volume**: 18.7 Å³ per atom

[4]
# Ga2AgGe

A relaxed structure of Ga2AgGe (GGA-PBE, Alexandria via LeMat-Bulk).

Geometry as extended XYZ:
```
4
Lattice="3.403 0.000 0.000 0.000 3.403 0.000 0.000 0.000 6.469" Properties=species:S:1:pos:R:3 pbc="T T T"
Ag 1.702 1.702 3.235
Ga 0.000 0.000 4.837
Ga 0.000 0.000 1.633
Ge 1.702 1.702 0.000
```

Computed properties:
**Magnetization**: 0.000 μB/atom
**ΔH_f (0 K)**: 52 kJ/mol of formula units
**Calculated volume**: 18.7 Å³ per atom

[5]
# GaAgGe

A relaxed structure of GaAgGe (GGA-PBE, Alexandria via LeMat-Bulk).

Geometry as extended XYZ:
```
6
Lattice="-0.694 3.185 4.172 -2.427 -1.399 4.493 3.573 -3.186 1.942" Properties=species:S:1:pos:R:3 pbc="T T T"
Ag 1.033 -3.124 6.787
Ag -0.286 -1.798 4.517
Ga 0.085 0.777 5.738
Ga 2.397 -1.117 5.248
Ge 1.125 0.185 2.864
Ge 1.366 -0.525 8.123
```

Computed properties:
**Magnetization**: 0.000 μB/atom
**ΔH_f (0 K)**: 47 kJ/mol of formula units
**Calculated volume**: 18.5 Å³ per atom

[6]
# GaAgGe

A relaxed structure of GaAgGe (GGA-PBE, Alexandria via LeMat-Bulk).

Geometry as extended XYZ:
```
6
Lattice="-1.675 4.906 2.562 -1.065 -1.583 2.379 5.666 2.632 2.374" Properties=species:S:1:pos:R:3 pbc="T T T"
Ga 1.915 2.458 2.688
Ga 1.946 5.435 6.656
Ag 1.070 4.910 3.952
Ag 2.792 2.981 5.394
Ge -0.903 2.633 3.485
Ge -0.064 0.180 2.204
```

Computed properties:
**Magnetization**: 0.000 μB/atom
**ΔH_f (0 K)**: 44 kJ/mol of formula units
**Calculated volume**: 18.5 Å³ per atom

[7]
# GaAgGe

A relaxed structure of GaAgGe (GGA-PBE, Alexandria via LeMat-Bulk).

Geometry as extended XYZ:
```
6
Lattice="4.341 0.016 0.029 -1.969 6.402 -0.001 -1.407 -1.065 4.192" Properties=species:S:1:pos:R:3 pbc="T T T"
Ag -0.692 0.082 2.851
Ag -0.423 4.474 2.608
Ge 0.805 2.010 1.575
Ge -1.920 2.546 3.881
Ga 2.883 0.979 0.394
Ga 1.750 4.654 0.904
```

Computed properties:
**Magnetization**: 0.000 μB/atom
**ΔH_f (0 K)**: 44 kJ/mol of formula units
**Calculated volume**: 19.5 Å³ per atom

[8]
# GaAgGe

A relaxed structure of GaAgGe (GGA-PBE, Alexandria via LeMat-Bulk).

Geometry as extended XYZ:
```
6
Lattice="5.119 -0.002 -0.219 -0.002 2.812 0.009 2.300 -1.439 7.708" Properties=species:S:1:pos:R:3 pbc="T T T"
Ag 4.754 -0.858 6.024
Ag 5.770 0.558 3.669
Ga 2.237 0.539 6.339
Ga 3.168 1.959 3.577
Ge 2.839 1.980 0.722
Ge 5.408 1.977 1.269
```

Computed properties:
**Magnetization**: 0.000 μB/atom
**ΔH_f (0 K)**: 41 kJ/mol of formula units
**Calculated volume**: 18.7 Å³ per atom